1.
Density functional theory data (PBE) for a relaxed structure of Ce6Hg2O.

abc: 6.600 6.698 11.632
angles: 90.00 121.40 90.00
Space group P2_1/c (No. 14)
One atom of each set of equivalent atoms:
Ce1 0.201 0.202 0.496 [4 per cell]
Ce2 0.208 0.698 0.519 [4 per cell]
Ce3 0.294 0.538 0.754 [4 per cell]
Hg1 0.235 0.023 0.770 [4 per cell]
O1 0.500 0.000 0.500 [2 per cell]

Properties
- raw formation energy (kJ per mole of atoms) = -67

---

2.
Density functional theory data (PBE) for a relaxed structure of Pr8Zn2Pd.

abc: 5.093 8.837 14.545
angles: 90.00 90.00 90.00
Space group Immm (No. 71)
One atom of each set of equivalent atoms:
Pr1 0.000 0.000 0.125 [4 per cell]
Pr2 0.000 0.218 0.339 [8 per cell]
Pr3 0.000 0.331 0.000 [4 per cell]
Zn1 0.000 0.500 0.200 [4 per cell]
Pd1 0.000 0.500 0.500 [2 per cell]

Properties
- formation enthalpy at 0 K (eV per formula unit) = -1.30

---

3.
Density functional theory data (PBE) for a relaxed structure of Er5TlSe8.

abc: 12.034 12.034 12.034
angles: 90.00 90.00 90.00
Space group F-43m (No. 216)
One atom of each set of equivalent atoms:
Er1 0.000 0.000 0.000 [4 per cell]
Er2 0.121 0.121 0.621 [16 per cell]
Tl1 0.250 0.250 0.250 [4 per cell]
Se1 0.110 0.110 0.390 [16 per cell]
Se2 0.133 0.133 0.867 [16 per cell]

Properties
- raw formation energy (kJ per mole of atoms) = -157

---

4.
Density functional theory data (PBE) for a relaxed structure of Th3Pd2Au2.

abc: 8.877 8.877 8.877
angles: 90.00 90.00 90.00
Space group I2_13 (No. 199)
One atom of each set of equivalent atoms:
Th1 0.000 0.250 0.394 [12 per cell]
Pd1 0.179 0.321 0.679 [8 per cell]
Au1 0.091 0.091 0.091 [8 per cell]

Properties
- formation enthalpy at 0 K (eV per formula unit) = -4.75

---

5.
Density functional theory data (PBE) for a relaxed structure of TbCeOsBr.

abc: 4.0281 4.0281 23.2658
angles: 90.00 90.00 120.00
Space group R3m (No. 160, hexagonal axes)
One atom of each set of equivalent atoms:
Tb1 0.0000 0.0000 0.0000 [3 per cell]
Ce1 0.0000 0.0000 0.7947 [3 per cell]
Os1 0.0000 0.0000 0.4025 [3 per cell]
Br1 0.0000 0.0000 0.2316 [3 per cell]

Properties
- raw formation energy (kJ per mole of atoms) = -70

---

6.
Density functional theory data (PBE) for a relaxed structure of Dy3AgAu2.

abc: 5.0976 5.0976 12.5473
angles: 90.00 90.00 120.00
Space group P-3m1 (No. 164)
One atom of each set of equivalent atoms:
Dy1 0.0000 0.0000 0.2473 [2 per cell]
Dy2 0.3333 0.6667 0.4178 [2 per cell]
Dy3 0.3333 0.6667 0.9202 [2 per cell]
Ag1 0.3333 0.6667 0.6699 [2 per cell]
Au1 0.0000 0.0000 0.0000 [1 per cell]
Au2 0.0000 0.0000 0.5000 [1 per cell]
Au3 0.3333 0.6667 0.1749 [2 per cell]

Properties
- formation enthalpy at 0 K (eV per formula unit) = -4.13

---

7.
Density functional theory data (PBE) for a relaxed structure of NdEr2Th3Se6.

abc: 7.022 12.090 7.527
angles: 90.00 107.91 90.00
Space group C2/m (No. 12)
One atom of each set of equivalent atoms:
Nd1 0.000 0.000 0.000 [2 per cell]
Er1 0.000 0.332 0.000 [4 per cell]
Th1 0.000 0.160 0.500 [4 per cell]
Th2 0.000 0.500 0.500 [2 per cell]
Se1 0.232 0.500 0.230 [4 per cell]
Se2 0.248 0.328 0.762 [8 per cell]

Properties
- raw formation energy (kJ per mole of atoms) = -157

---

8.
Density functional theory data (PBE) for a relaxed structure of CdTc2Hg.

abc: 4.197 4.197 7.782
angles: 90.00 90.00 90.00
Space group I-4m2 (No. 119)
One atom of each set of equivalent atoms:
Cd1 0.000 0.000 0.000 [2 per cell]
Tc1 0.000 0.000 0.500 [2 per cell]
Tc2 0.000 0.500 0.250 [2 per cell]
Hg1 0.000 0.500 0.750 [2 per cell]

Properties
- formation enthalpy at 0 K (eV per formula unit) = 2.36

---

Calculated E_tot, -5.269; -4.297; -5.417; -6.278; -6.590; -4.558; -6.385; -4.898 eV/atom (same order as the records).